Here is an optimized crystal structure of SbOsCl2 from the Alexandria database. Energies are from PBE.

Unit cell a=5.4515 b=5.4515 c=5.4515 alpha=133.56 beta=133.56 gamma=67.78
With the nearest neighbours (Å) after each atom.
Fractional positions:
Sb 0.7500 0.2500 0.5000  4 Os 3.04, 8 Cl 3.12
Os 0.2500 0.7500 0.5000  4 Sb 3.04, 8 Cl 3.12
Cl 0.0000 0.0000 0.0000  4 Cl 3.04, 4 Os 3.12, 4 Sb 3.12
Cl 0.5000 0.5000 0.0000  4 Cl 3.04, 4 Sb 3.12, 4 Os 3.12

## Properties
Uncorrected formation energy: 4.3 eV per formula unit
Magnetization: 2.9 μB per cell
Calculated density: 7.60 g/cm³
Space group: I4/mmm, No. 139
Calculated total energy: -14.78 eV per cell
Excess energy over the best structure of this formula in the dataset: 1042 meV per atom
Calculated volume: 20.9 Å³ per atom

Here is an optimized crystal structure of CdIr3Br from the Alexandria database. Energies are from PBE.

Unit cell a=4.6432 b=4.6432 c=4.6432 alpha=90.00 beta=90.00 gamma=90.00
With the nearest neighbours (Å) after each atom.
Fractional positions:
Ir 0.0000 0.5000 0.0000  2 Br 2.32
Ir 0.0000 0.0000 0.5000  2 Br 2.32
Ir 0.5000 0.0000 0.0000  2 Br 2.32
Br 0.0000 0.0000 0.0000  6 Ir 2.32
Cd 0.5000 0.5000 0.5000  12 Ir 3.28

## Properties
Uncorrected formation energy: 8.2 eV per formula unit
Magnetization: 0.0 μB per cell
Calculated density: 12.76 g/cm³
Space group: Pm-3m, No. 221
Calculated total energy: -21.00 eV per cell
Excess energy over the best structure of this formula in the dataset: 0 meV per atom
Calculated volume: 20.0 Å³ per atom

Here is an optimized crystal structure of LaNd7Ho3 from the Alexandria database. Energies are from PBE.

Unit cell a=6.4834 b=7.8314 c=7.8314 alpha=81.52 beta=85.46 gamma=85.46
With the nearest neighbours (Å) after each atom.
Fractional positions:
La 0.5000 0.5000 0.5000  4 Nd 3.24-3.49
Nd 0.7881 0.2343 0.2343  5 Nd 3.34-3.57, 3 Ho 3.43-3.51, 1 La 3.49
Nd 0.7407 0.9283 0.5771  5 Nd 3.34-3.69, 3 Ho 3.53-3.65
Nd 0.2593 0.4229 0.0717  5 Nd 3.34-3.69, 3 Ho 3.53-3.65
Nd 0.7407 0.5771 0.9283  5 Nd 3.34-3.69, 3 Ho 3.53-3.65
Nd 0.0000 0.5000 0.5000  2 La 3.24, 2 Ho 3.39, 2 Nd 3.57
Nd 0.2593 0.0717 0.4229  5 Nd 3.34-3.69, 3 Ho 3.53-3.65
Nd 0.2119 0.7657 0.7657  5 Nd 3.34-3.57, 3 Ho 3.43-3.51, 1 La 3.49
Ho 0.0000 0.8313 0.1687  7 Nd 3.39-3.65, 3 Ho 3.45-3.67
Ho 0.5000 0.0000 0.0000  6 Nd 3.51-3.65, 4 Ho 3.67
Ho 0.0000 0.1687 0.8313  7 Nd 3.39-3.65, 3 Ho 3.45-3.67

## Properties
Magnetization: 0.0 μB per cell
Calculated density: 6.98 g/cm³
Space group: C2/m, No. 12
Calculated total energy: -49.70 eV per cell
Energy of formation: 2.33 eV/f.u.
Calculated volume: 35.6 Å³ per atom

Here is an optimized crystal structure of FeHgPH from the Alexandria database. Energies are from PBE.

Unit cell a=2.9905 b=4.0289 c=5.2775 alpha=100.63 beta=90.79 gamma=111.61
With the nearest neighbours (Å) after each atom.
Fractional positions:
Fe 0.9795 0.8246 0.6649  1 H 1.60
Hg 0.9882 0.8445 0.1599  1 H 2.17
P 0.6842 0.2360 0.6913  1 H 1.79
H 0.7968 0.4789 0.4314  1 Fe 1.60

## Properties
Magnetization: 0.0 μB per cell
Calculated density: 8.28 g/cm³
Space group: P1, No. 1
Calculated total energy: -17.09 eV per cell
Excess energy over the best structure of this formula in the dataset: 45 meV per atom
Calculated volume: 14.5 Å³ per atom

Here is an optimized crystal structure of AlAu3 from the Alexandria database. Energies are from PBE.

Unit cell a=4.3450 b=3.0161 c=5.5464 alpha=74.35 beta=90.00 gamma=90.00
With the nearest neighbours (Å) after each atom.
Fractional positions:
Au 0.5000 0.8496 0.7656  2 Al 2.63, 2 Au 2.84-2.87
Au 0.0000 0.5000 0.5000  2 Al 2.78, 10 Au 2.97-3.03
Au 0.5000 0.1504 0.2344  2 Al 2.63, 2 Au 2.84-2.87
Al 0.0000 0.0000 0.0000  6 Au 2.63-2.78

## Properties
Magnetization: 0.0 μB per cell
Calculated density: 14.66 g/cm³
Space group: P2/m, No. 10
Calculated total energy: -14.22 eV per cell
Energy of formation: -0.65 eV/f.u.
Calculated volume: 17.5 Å³ per atom

Here is an optimized crystal structure of CdFeSi2 from the Alexandria database. Energies are from PBE.

Unit cell a=4.8672 b=5.4023 c=2.8759 alpha=72.44 beta=94.52 gamma=118.13
With the nearest neighbours (Å) after each atom.
Fractional positions:
Cd 0.0000 0.5000 0.5000  4 Si 2.65, 4 Fe 2.73-2.92, 2 Cd 2.88
Fe 0.5000 0.5000 0.0000  4 Si 2.65, 4 Cd 2.73-2.92, 2 Fe 2.88
Si 0.0000 0.0000 0.0000  2 Fe 2.65, 2 Cd 2.65, 6 Si 2.73-2.92
Si 0.5000 0.0000 0.5000  2 Cd 2.65, 2 Fe 2.65, 6 Si 2.73-2.92

## Properties
Uncorrected formation energy: 2.0 eV per formula unit
Magnetization: 2.6 μB per cell
Calculated density: 5.88 g/cm³
Space group: C2/m, No. 12
Calculated total energy: -18.19 eV per cell
Calculated volume: 15.9 Å³ per atom

Here is an optimized crystal structure of BaGaPdPt from the Alexandria database. Energies are from PBE.

Unit cell a=4.4512 b=4.4397 c=6.2131 alpha=110.90 beta=90.00 gamma=120.09
With the nearest neighbours (Å) after each atom.
Fractional positions:
Ba 0.6188 0.2377 0.4982  4 Pd 3.34-3.46, 4 Pt 3.39-3.43, 1 Ga 3.74
Ga 0.1127 0.2254 0.9801  3 Pt 2.60-2.61, 3 Pd 2.63-2.64
Pd 0.8155 0.6310 0.0889  3 Ga 2.63-2.64, 3 Pt 2.77-2.78
Pt 0.4193 0.8386 0.9001  3 Ga 2.60-2.61, 3 Pd 2.77-2.78

## Properties
Magnetization: 0.0 μB per cell
Calculated density: 8.72 g/cm³
Space group: Cm, No. 8
Calculated total energy: -19.12 eV per cell
Energy of formation: -2.93 eV/f.u.
Calculated volume: 24.2 Å³ per atom

Here is an optimized crystal structure of NiMoPt2 from the Alexandria database. Energies are from PBE.

Unit cell a=3.8611 b=2.7607 c=6.1157 alpha=63.13 beta=90.00 gamma=90.00
With the nearest neighbours (Å) after each atom.
Fractional positions:
Ni 0.5000 0.7569 0.7441  6 Pt 2.62-2.84, 4 Mo 2.69, 2 Ni 2.76
Mo 0.0000 0.4888 0.5111  5 Pt 2.56-2.73, 4 Ni 2.69, 2 Mo 2.76
Pt 0.0000 0.0201 0.9805  1 Mo 2.56, 4 Ni 2.70, 6 Pt 2.76-2.84
Pt 0.5000 0.2342 0.2643  2 Ni 2.62-2.84, 4 Mo 2.73, 6 Pt 2.76-2.84

## Properties
Magnetization: 0.0 μB per cell
Calculated density: 15.56 g/cm³
Space group: Pm, No. 6
Calculated total energy: -29.49 eV per cell
Excess energy over the best structure of this formula in the dataset: 96 meV per atom
Energy of formation: -0.80 eV/f.u.
Calculated volume: 14.5 Å³ per atom

Here is an optimized crystal structure of Ba8As3I3Cl from the Alexandria database. Energies are from PBE.

Unit cell a=9.7127 b=9.7128 c=9.8442 alpha=119.57 beta=90.00 gamma=120.00
With the nearest neighbours (Å) after each atom.
Fractional positions:
Ba 0.2624 0.5249 0.2875  3 As 3.29, 3 I 3.64
Ba 0.7376 0.4751 0.7125  3 As 3.29, 3 I 3.64
Ba 0.7470 0.4941 0.2775  2 As 3.25, 1 Cl 3.51
Ba 0.2530 0.5059 0.7225  2 As 3.25, 1 Cl 3.51
Ba 0.7471 0.0304 0.2775  2 As 3.25, 1 Cl 3.50
Ba 0.2529 0.9696 0.7225  2 As 3.25, 1 Cl 3.50
Ba 0.2833 0.0304 0.2775  2 As 3.25, 1 Cl 3.50
Ba 0.7167 0.9696 0.7225  2 As 3.25, 1 Cl 3.50
As 0.5000 0.0000 0.5000  6 Ba 3.25-3.29
As 0.5000 0.5000 0.5000  6 Ba 3.25-3.29
As 0.0000 0.5000 0.5000  6 Ba 3.25-3.29
I 0.0000 0.0000 0.0000  6 Ba 3.64-3.68
I 0.0000 0.5000 0.0000  6 Ba 3.64-3.68
I 0.5000 0.5000 0.0000  6 Ba 3.64-3.68
Cl 0.0000 0.0000 0.5000  6 Ba 3.50-3.51

## Properties
Uncorrected formation energy: -21.0 eV per formula unit
Magnetization: 0.0 μB per cell
Calculated density: 4.37 g/cm³
Space group: R-3m, No. 166
Calculated total energy: -56.80 eV per cell
Calculated volume: 44.1 Å³ per atom